(1)
Crystalline SiNiTe2 at its relaxed geometry. Source: Alexandria via LeMat-Bulk, functional PBE-GGA.

abc: 4.8359 4.8359 4.8299
angles: 68.92 68.92 106.19
Sites, in units of the cell vectors:
Si  0.0000  0.5000  0.5000
Te  0.5000  0.5000  0.0000
Te  0.0000  0.0000  0.0000
Ni  0.5000  0.0000  0.5000

Calculated values
ΔE_f (raw) = 1.190 eV/f.u.
total DFT energy (no corrections) = -4.0743 eV/atom
crystal system = monoclinic
DOS(E_F) = 1.17 states/eV/cell

=====

(2)
Crystalline CdAg2AsS4 at its relaxed geometry. Source: Alexandria via LeMat-Bulk, functional PBE-GGA.

abc: 6.7001 7.1476 8.1519
angles: 90.00 90.00 90.00
Sites, in units of the cell vectors:
S  0.8864  0.3335  0.2414
S  0.8415  0.8235  0.5000
S  0.3864  0.6665  0.2586
S  0.3864  0.6665  0.7414
S  0.3415  0.1765  0.0000
S  0.8864  0.3335  0.7586
S  0.3813  0.1398  0.5000
S  0.8813  0.8602  0.0000
Cd  0.4948  0.8481  0.0000
Cd  0.9948  0.1519  0.5000
Ag  0.0086  0.6747  0.7505
Ag  0.0086  0.6747  0.2495
Ag  0.5086  0.3253  0.2505
Ag  0.5086  0.3253  0.7495
As  0.4923  0.8295  0.5000
As  0.9923  0.1705  0.0000

Calculated values
ΔE_f (raw) = -1.163 eV/f.u.
total DFT energy (no corrections) = -3.6175 eV/atom
crystal system = orthorhombic
DOS(E_F) = 8.55 states/eV/cell

=====

(3)
Crystalline Cd2InSi at its relaxed geometry. Source: Alexandria via LeMat-Bulk, functional PBE-GGA.

abc: 5.0401 5.0401 5.0401
angles: 60.00 60.00 60.00
Sites, in units of the cell vectors:
Cd  0.0000  0.0000  0.0000
Cd  0.2500  0.2500  0.2500
Si  0.7500  0.7500  0.7500
In  0.5000  0.5000  0.5000

Calculated values
ΔE_f (raw) = 1.369 eV/f.u.
total DFT energy (no corrections) = -2.1557 eV/atom
crystal system = cubic
ΔE to the lowest computed polymorph = 0.092 eV/atom
DOS(E_F) = 2.98 states/eV/cell

=====

(4)
Crystalline YCuP2 at its relaxed geometry. Source: Alexandria via LeMat-Bulk, functional PBE-GGA.

abc: 3.4803 3.4803 5.6401
angles: 90.00 90.00 90.00
Sites, in units of the cell vectors:
Y  0.5000  0.5000  0.2500
Cu  0.5000  0.5000  0.7500
P  0.0000  0.0000  0.9492
P  0.0000  0.0000  0.5508

Calculated values
calculated formation energy = -1.3 eV per formula unit
total DFT energy (no corrections) = -5.6662 eV/atom
crystal system = tetragonal
DOS(E_F) = 2.96 states/eV/cell

=====

(5)
Crystalline InTc2Sb at its relaxed geometry. Source: Alexandria via LeMat-Bulk, functional PBE-GGA.

abc: 9.8220 9.8220 9.8220
angles: 17.88 17.88 17.88
Sites, in units of the cell vectors:
In  0.5125  0.5125  0.5125
Sb  0.7351  0.7351  0.7351
Tc  0.2593  0.2593  0.2593
Tc  0.9932  0.9932  0.9932

Calculated values
ΔE_f (raw) = 1.388 eV/f.u.
total DFT energy (no corrections) = -6.5513 eV/atom
crystal system = trigonal
ΔE to the lowest computed polymorph = 0.252 eV/atom
DOS(E_F) = 4.01 states/eV/cell

=====

(6)
Crystalline Mg2InCuH at its relaxed geometry. Source: Alexandria via LeMat-Bulk, functional PBE-GGA.

abc: 4.8068 4.8068 3.4804
angles: 90.00 90.00 90.00
Sites, in units of the cell vectors:
In  0.5000  0.5000  0.5000
Mg  0.0000  0.5000  0.0000
Mg  0.5000  0.0000  0.0000
H  0.0000  0.0000  0.0000
Cu  0.0000  0.0000  0.5000

Calculated values
total DFT energy (no corrections) = -2.6726 eV/atom
crystal system = tetragonal
DOS(E_F) = 0.93 states/eV/cell